1.
Here is crystalline Pm8TcGe2 at its relaxed geometry from the Alexandria database. Energies are from PBE.

abc: 9.6965 9.6965 7.1220
angles: 99.79 99.79 28.44
Closest atoms and distances in Å follow each position.
Fractional coordinates of all 11 atoms:
Pm: 0.0128 0.0128 0.2781  2 Tc 2.89, 1 Ge 3.19
Pm: 0.2167 0.2167 0.8377  3 Ge 3.15-3.20, 4 Pm 3.40-3.42
Pm: 0.3485 0.3485 0.4930  1 Tc 2.84, 2 Ge 3.10
Pm: 0.4052 0.4052 0.0034  2 Ge 3.25, 9 Pm 3.49-3.63
Pm: 0.5948 0.5948 0.9966  2 Ge 3.25, 9 Pm 3.49-3.63
Pm: 0.6515 0.6515 0.5070  1 Tc 2.84, 2 Ge 3.10
Pm: 0.7833 0.7833 0.1623  3 Ge 3.15-3.20, 4 Pm 3.40-3.42
Pm: 0.9872 0.9872 0.7219  2 Tc 2.89, 1 Ge 3.19
Tc: 0.5000 0.5000 0.5000  6 Pm 2.84-2.89
Ge: 0.1806 0.1806 0.2529  9 Pm 3.10-3.32
Ge: 0.8194 0.8194 0.7471  9 Pm 3.10-3.32

## Properties
density	7.4	g/cm³
DFT formation energy	-267	meV/atom
DFT total energy	-5.5037	eV/atom


2.
Here is crystalline YTmRh at its relaxed geometry from the Alexandria database. Energies are from PBE.

abc: 4.7799 4.7814 6.7637
angles: 90.00 90.13 90.00
Closest atoms and distances in Å follow each position.
Fractional coordinates of all 6 atoms:
Y: 0.0035 0.0000 0.2500  4 Rh 2.92-2.94
Y: 0.9965 0.0000 0.7500  4 Rh 2.92-2.94
Tm: 0.4967 0.5000 0.7500  4 Rh 2.91-2.94
Tm: 0.5033 0.5000 0.2500  4 Rh 2.91-2.94
Rh: 0.0000 0.5000 0.5000  4 Tm 2.91-2.94, 4 Y 2.93
Rh: 0.5000 0.0000 0.0000  4 Y 2.92-2.94, 4 Tm 2.93

## Properties
density	7.8	g/cm³
energy above the lowest structure with this stoichiometry	0.00	eV/f.u.
DFT formation energy	-605	meV/atom
DFT total energy	-6.7002	eV/atom


3.
Here is crystalline Li4AcPu3O12 at its relaxed geometry from the Alexandria database. Energies are from PBE.

abc: 6.6877 6.6877 6.6877
angles: 109.47 109.47 109.47
Closest atoms and distances in Å follow each position.
Fractional coordinates of all 20 atoms:
Li: 0.0000 0.0000 0.5000  6 O 2.07
Li: 0.0000 0.5000 0.0000  6 O 2.07
Li: 0.5000 0.0000 0.0000  6 O 2.07
Li: 0.5000 0.5000 0.5000  6 O 2.07
Ac: 0.0000 0.0000 0.0000  12 O 2.79
Pu: 0.0000 0.5000 0.5000  4 O 1.98
Pu: 0.5000 0.0000 0.5000  4 O 1.98
Pu: 0.5000 0.5000 0.0000  4 O 1.98
O: 0.1368 0.8226 0.3141  1 Pu 1.98, 2 Li 2.07
O: 0.1774 0.3141 0.4915  1 Pu 1.98, 2 Li 2.07
O: 0.1774 0.6859 0.8632  1 Pu 1.98, 2 Li 2.07
O: 0.3141 0.1368 0.8226  1 Pu 1.98, 2 Li 2.07
O: 0.3141 0.4915 0.1774  1 Pu 1.98, 2 Li 2.07
O: 0.4915 0.1774 0.3141  1 Pu 1.98, 2 Li 2.07
O: 0.5085 0.8226 0.6859  1 Pu 1.98, 2 Li 2.07
O: 0.6859 0.5085 0.8226  1 Pu 1.98, 2 Li 2.07
O: 0.6859 0.8632 0.1774  1 Pu 1.98, 2 Li 2.07
O: 0.8226 0.3141 0.1368  1 Pu 1.98, 2 Li 2.07
O: 0.8226 0.6859 0.5085  1 Pu 1.98, 2 Li 2.07
O: 0.8632 0.1774 0.6859  1 Pu 1.98, 2 Li 2.07

## Properties
density	8.5	g/cm³
energy relative to the elements, uncorrected	-2.54	eV/atom
DFT total energy	-8.2542	eV/atom